# 1
Below is a crystal of Hf9BMo4 relaxed with PBEsol, with properties calculated at the SCAN level.

ΔE_f = -182 meV/atom
space group = No. 194
crystal system = hexagonal

abc: 8.4145 8.4387 8.4387
angles: 120.00 90.00 90.00
With the nearest neighbours (Å) after each atom.
Sites, in units of the cell vectors:
Hf: 0.9450 0.4076 0.2038  1 B 2.51
Hf: 0.7500 0.4601 0.5399  2 Mo 2.82, 1 B 3.02, 4 Hf 3.11
Hf: 0.0550 0.2038 0.7962  1 B 2.51
Hf: 0.9450 0.7962 0.5924  1 B 2.51
Hf: 0.5550 0.4076 0.2038  1 B 2.51
Hf: 0.2500 0.5399 0.0798  2 Mo 2.82, 1 B 3.02, 4 Hf 3.11
Hf: 0.0550 0.5924 0.7962  1 B 2.51
Hf: 0.5550 0.7962 0.5924  1 B 2.51
Hf: 0.7500 0.4601 0.9202  2 Mo 2.82, 1 B 3.02, 4 Hf 3.11
Hf: 0.7500 0.0798 0.5399  2 Mo 2.82, 1 B 3.02, 4 Hf 3.11
Hf: 0.2500 0.9202 0.4601  2 Mo 2.82, 1 B 3.02, 4 Hf 3.11
Hf: 0.4450 0.2038 0.7962  1 B 2.51
Hf: 0.4450 0.5924 0.7962  1 B 2.51
Hf: 0.4450 0.2038 0.4076  1 B 2.51
Hf: 0.0550 0.2038 0.4076  1 B 2.51
Hf: 0.9450 0.7962 0.2038  1 B 2.51
Hf: 0.2500 0.5399 0.4601  2 Mo 2.82, 1 B 3.02, 4 Hf 3.11
Hf: 0.5550 0.7962 0.2038  1 B 2.51
Mo: 0.7500 0.7779 0.8890  4 Mo 2.66-2.81, 4 Hf 2.82-2.90
Mo: 0.2500 0.8890 0.7779  4 Mo 2.66-2.81, 4 Hf 2.82-2.90
Mo: 0.5000 0.0000 0.0000  6 Mo 2.66
Mo: 0.7500 0.1110 0.2221  4 Mo 2.66-2.81, 4 Hf 2.82-2.90
Mo: 0.0000 0.0000 0.0000  6 Mo 2.66
Mo: 0.7500 0.1110 0.8890  4 Mo 2.66-2.81, 4 Hf 2.82-2.90
Mo: 0.2500 0.2221 0.1110  4 Mo 2.66-2.81, 4 Hf 2.82-2.90
Mo: 0.2500 0.8890 0.1110  4 Mo 2.66-2.81, 4 Hf 2.82-2.90
B: 0.2500 0.3333 0.6667  6 Hf 2.51
B: 0.7500 0.6667 0.3333  6 Hf 2.51

# 2
Below is a crystal of HfBSN2 relaxed with PBEsol, with properties calculated at the SCAN level.

space group = No. 123
crystal system = tetragonal
formation energy (no corrections) = 0.413 eV/atom

abc: 3.4730 3.4730 4.2125
angles: 90.00 90.00 90.00
With the nearest neighbours (Å) after each atom.
Sites, in units of the cell vectors:
Hf: 0.5000 0.5000 0.5000  4 S 2.46, 8 N 2.73
N: 0.0000 0.5000 0.0000  2 B 1.74
N: 0.5000 0.0000 0.0000  2 B 1.74
B: 0.0000 0.0000 0.0000  4 N 1.74
S: 0.0000 0.0000 0.5000  2 B 2.11

# 3
Below is a crystal of HfSn2BN relaxed with PBEsol, with properties calculated at the SCAN level.

space group = No. 123
crystal system = tetragonal
formation energy (no corrections) = 0.141 eV/atom

abc: 2.8086 5.5397 5.5397
angles: 90.00 90.00 90.00
With the nearest neighbours (Å) after each atom.
Sites, in units of the cell vectors:
Sn: 0.0000 0.5000 0.0000  2 N 2.77, 2 Sn 2.81
Sn: 0.0000 0.0000 0.5000  2 N 2.77, 2 Sn 2.81
N: 0.0000 0.0000 0.0000  2 B 1.40
B: 0.5000 0.0000 0.0000  2 N 1.40
Hf: 0.5000 0.5000 0.5000  2 Hf 2.81, 8 Sn 3.11

# 4
Below is a crystal of NaHf3B relaxed with PBEsol, with properties calculated at the SCAN level.

ΔE_f = 322 meV/atom
space group = No. 221
crystal system = cubic

abc: 4.6422 4.6422 4.6422
angles: 90.00 90.00 90.00
With the nearest neighbours (Å) after each atom.
Sites, in units of the cell vectors:
B: 0.0000 0.0000 0.0000  6 Hf 2.32
Hf: 0.0000 0.5000 0.0000  2 B 2.32
Hf: 0.0000 0.0000 0.5000  2 B 2.32
Hf: 0.5000 0.0000 0.0000  2 B 2.32
Na: 0.5000 0.5000 0.5000  12 Hf 3.28

# 5
Below is a crystal of Na3HfB relaxed with PBEsol, with properties calculated at the SCAN level.

ΔE_f = 1499 meV/atom
space group = No. 221
crystal system = cubic

abc: 4.9236 4.9236 4.9236
angles: 90.00 90.00 90.00
With the nearest neighbours (Å) after each atom.
Sites, in units of the cell vectors:
Hf: 0.5000 0.5000 0.5000  12 Na 3.48
B: 0.0000 0.0000 0.0000  6 Na 2.46
Na: 0.0000 0.0000 0.5000  2 B 2.46
Na: 0.0000 0.5000 0.0000  2 B 2.46
Na: 0.5000 0.0000 0.0000  2 B 2.46

# 6
Below is a crystal of NaHfB2Os relaxed with PBEsol, with properties calculated at the SCAN level.

ΔE_f = 2293 meV/atom
space group = No. 123
crystal system = tetragonal

abc: 4.0396 4.0396 4.5294
angles: 90.00 90.00 90.00
With the nearest neighbours (Å) after each atom.
Sites, in units of the cell vectors:
Os: 0.0000 0.0000 0.5000  2 Na 2.26
B: 0.0000 0.5000 0.0000  2 Na 2.02
B: 0.5000 0.0000 0.0000  2 Na 2.02
Na: 0.0000 0.0000 0.0000  4 B 2.02
Hf: 0.5000 0.5000 0.5000  4 Os 2.86, 8 B 3.03

# 7
Below is a crystal of Hf2NbB2 relaxed with PBEsol, with properties calculated at the SCAN level.

ΔE_f = -558 meV/atom
space group = No. 127
crystal system = tetragonal

abc: 3.3804 6.3455 6.3455
angles: 90.00 90.00 90.00
With the nearest neighbours (Å) after each atom.
Sites, in units of the cell vectors:
B: 0.0000 0.3982 0.8982  1 B 1.83
B: 0.0000 0.6018 0.1018  1 B 1.83
B: 0.0000 0.1018 0.3982  1 B 1.83
B: 0.0000 0.8982 0.6018  1 B 1.83
Hf: 0.5000 0.6826 0.8174  6 B 2.53-2.57
Hf: 0.5000 0.3174 0.1826  6 B 2.53-2.57
Hf: 0.5000 0.8174 0.3174  6 B 2.53-2.57
Hf: 0.5000 0.1826 0.6826  6 B 2.53-2.57
Nb: 0.0000 0.0000 0.0000  4 B 2.61, 8 Hf 2.87
Nb: 0.0000 0.5000 0.5000  4 B 2.61, 8 Hf 2.87

# 8
Below is a crystal of HfNbB4 relaxed with PBEsol, with properties calculated at the SCAN level.

ΔE_f = -891 meV/atom
space group = No. 191
energy above the lowest structure with this stoichiometry = 3 meV/atom
crystal system = hexagonal

abc: 3.1152 3.1152 6.7456
angles: 90.00 90.00 120.00
With the nearest neighbours (Å) after each atom.
Sites, in units of the cell vectors:
B: 0.6667 0.3333 0.2535  3 B 1.80
B: 0.3333 0.6667 0.7465  3 B 1.80
B: 0.3333 0.6667 0.2535  3 B 1.80
B: 0.6667 0.3333 0.7465  3 B 1.80
Nb: 0.0000 0.0000 0.5000  12 B 2.45
Hf: 0.0000 0.0000 0.0000  12 B 2.48

# 9
Below is a crystal of HfNbB4 relaxed with PBEsol, with properties calculated at the SCAN level.

ΔE_f = -894 meV/atom
space group = No. 71
energy above the lowest structure with this stoichiometry = 0 meV/atom
crystal system = orthorhombic

abc: 3.1199 4.5872 4.5872
angles: 71.94 70.16 70.16
With the nearest neighbours (Å) after each atom.
Sites, in units of the cell vectors:
B: 0.2497 0.4162 0.0840  3 B 1.79-1.80
B: 0.7503 0.5838 0.9160  3 B 1.79-1.80
B: 0.2497 0.0840 0.4162  3 B 1.79-1.80
B: 0.7503 0.9160 0.5838  3 B 1.79-1.80
Hf: 0.5000 0.5000 0.5000  12 B 2.46-2.47
Nb: 0.0000 0.0000 0.0000  12 B 2.46-2.47

# 10
Below is a crystal of HfNb2B relaxed with PBEsol, with properties calculated at the SCAN level.

ΔE_f = 154 meV/atom
space group = No. 122
energy above the lowest structure with this stoichiometry = 0 meV/atom
crystal system = tetragonal

abc: 4.8063 5.7346 5.7346
angles: 79.89 65.22 65.22
With the nearest neighbours (Å) after each atom.
Sites, in units of the cell vectors:
Nb: 0.3750 0.4260 0.0740  2 B 2.33
Nb: 0.5510 0.0740 0.5740  2 B 2.33
Nb: 0.8750 0.5740 0.9260  2 B 2.33
Nb: 0.1990 0.9260 0.4260  2 B 2.33
B: 0.2500 0.5000 0.5000  4 Nb 2.33, 2 Hf 2.40
B: 0.5000 0.0000 0.0000  4 Nb 2.33, 2 Hf 2.40
Hf: 0.0000 0.0000 0.0000  2 B 2.40
Hf: 0.7500 0.5000 0.5000  2 B 2.40

# 11
Below is a crystal of HfNbB2 relaxed with PBEsol, with properties calculated at the SCAN level.

ΔE_f = -791 meV/atom
space group = No. 38
crystal system = orthorhombic

abc: 3.1634 3.3718 4.7869
angles: 110.62 90.00 90.00
With the nearest neighbours (Å) after each atom.
Sites, in units of the cell vectors:
Hf: 0.0000 0.1477 0.2954  7 B 2.46-2.63
B: 0.0000 0.4412 0.8823  2 B 1.87
B: 0.5000 0.5522 0.1044  2 B 1.87
Nb: 0.5000 0.8590 0.7179  6 B 2.42-2.43

# 12
Below is a crystal of HfNb8B12 relaxed with PBEsol, with properties calculated at the SCAN level.

ΔE_f = -814 meV/atom
space group = No. 71
crystal system = orthorhombic

abc: 3.1438 3.3117 21.2486
angles: 94.47 94.24 90.00
With the nearest neighbours (Å) after each atom.
Sites, in units of the cell vectors:
B: 0.6455 0.1455 0.2910  3 B 1.81-1.84
B: 0.0216 0.5216 0.0432  3 B 1.83-1.85
B: 0.5445 0.5445 0.0891  2 B 1.85
B: 0.3117 0.8117 0.6233  3 B 1.81-1.84
B: 0.2109 0.2109 0.4219  2 B 1.84
B: 0.9784 0.4784 0.9568  3 B 1.83-1.85
B: 0.1229 0.1229 0.2459  2 B 1.84
B: 0.7891 0.7891 0.5781  2 B 1.84
B: 0.4555 0.4555 0.9109  2 B 1.85
B: 0.6883 0.1883 0.3767  3 B 1.81-1.84
B: 0.3545 0.8545 0.7090  3 B 1.81-1.84
B: 0.8771 0.8771 0.7541  2 B 1.84
Nb: 0.0623 0.0623 0.1246  7 B 2.39-2.56
Nb: 0.6053 0.6053 0.2106  7 B 2.37-2.57
Nb: 0.3947 0.3947 0.7894  7 B 2.37-2.57
Nb: 0.1669 0.6669 0.3337  12 B 2.46-2.49
Nb: 0.8331 0.3331 0.6663  12 B 2.46-2.49
Nb: 0.9377 0.9377 0.8754  7 B 2.39-2.56
Nb: 0.2716 0.2716 0.5433  7 B 2.37-2.56
Nb: 0.7284 0.7284 0.4567  7 B 2.37-2.56
Hf: 0.5000 0.0000 0.0000  12 B 2.46-2.51

Record-wise D(E_F) values, in states/eV per atom: 0.665, 0.290, 0.498, 1.384, 0.838, 0.513, 0.806, 0.149, 0.221, 0.929, 0.330, 0.254
Record-wise magnetic moment values, in μB/f.u.: 0.00, 0.00, 0.00, 0.71, 0.00, 0.00, 0.00, 0.00, 0.00, 0.00, 0.00, 0.00
Record-wise DFT total energy values, in hartree per atom: -1.8731, -0.7074, -1.1064, -1.4557, -0.5531, -1.0449, -1.2945, -0.8015, -0.8016, -1.2472, -1.0458, -0.7594